A relaxed Er8Tl4SiSe3 crystal, computed with PBE-GGA.

ΔE_f (raw) = -901 meV per atom
ρ = 9.5 g cm⁻³
density of states at the Fermi level = 0.494 states/eV/atom
SG = C2/m (12)

```
16
Lattice="6.8220 -3.9241 0.0000 6.8220 3.9241 0.0000 -4.5676 0.0000 7.8782" Properties=species:S:1:pos:R:3 pbc="T T T"
Er -0.0740 0.0000 5.6242
Er 3.4288 2.0148 5.6235
Er 5.6476 2.0148 2.2546
Er 2.2684 0.0000 2.1942
Er 6.8080 0.0000 5.6840
Er 3.4288 -2.0148 5.6235
Er 5.6476 -2.0148 2.2546
Er 9.1504 0.0000 2.2540
Tl 0.0000 0.0000 0.0000
Tl 3.4110 1.9620 0.0000
Tl 3.4110 -1.9620 0.0000
Tl 6.8220 0.0000 0.0000
Si -2.2838 0.0000 3.9391
Se 1.1272 1.9620 3.9391
Se 1.1272 -1.9620 3.9391
Se 4.5382 0.0000 3.9391
```